A plane-wave DFT calculation with PBE was carried out for a geometry-optimized MgAl2Sn structure.

Properties
- Electronic total energy: -3.157 eV/atom
- Density: 3.89 Mg/m³

Cell: 3.7687 3.7687 5.9213 Å, 90.00 90.00 90.00°
Last column: nearest neighbours and their distance in Å.
Space group P4/mmm (No. 123)
Inequivalent atoms, fractional coordinates:
Mg: 0.0000 0.0000 0.0000 [1 per cell]  2 Sn 2.96, 8 Al 3.05
Al: 0.5000 0.5000 0.2509 [2 per cell]  2 Al 2.95-2.97, 4 Sn 3.05, 4 Mg 3.05
Sn: 0.0000 0.0000 0.5000 [1 per cell]  2 Mg 2.96, 8 Al 3.05